Material: LuScSbC
Method: DFT, PBE
State: optimized geometry

Output
Distance to the lowest polymorph of the same formula ... 0.000 eV per atom

Cell lengths 3.4905, 3.4905, 14.6049 Å; angles 90.00, 90.00, 120.00 degrees
Last column: nearest neighbours and their distance in Å.
Space group P6_3mc (No. 186)
Asymmetric unit:
1 Lu 0.3333 0.6667 0.0000 (multiplicity 2)  3 C 2.39
2 Sc 0.3333 0.6667 0.6691 (multiplicity 2)  3 C 2.34
3 Sb 0.3333 0.6667 0.3306 (multiplicity 2)  3 Sc 3.10, 3 Lu 3.19
4 C 0.0000 0.0000 0.0880 (multiplicity 2)  3 Sc 2.34, 3 Lu 2.39

Material: Tm3LuSb2C2
Method: DFT, PBE
State: optimized geometry

Output
E ... -50.19 eV per cell

Cell lengths 3.5960, 3.5960, 14.9214 Å; angles 90.00, 90.00, 120.00 degrees
Last column: nearest neighbours and their distance in Å.
Space group P3m1 (No. 156)
Asymmetric unit:
1 Tm 0.0000 0.0000 0.0000 (multiplicity 1)  3 C 2.45
2 Tm 0.0000 0.0000 0.3270 (multiplicity 1)  3 C 2.45
3 Tm 0.6667 0.3333 0.5007 (multiplicity 1)  3 C 2.45
4 Lu 0.6667 0.3333 0.8280 (multiplicity 1)  3 C 2.43
5 Sb 0.0000 0.0000 0.6646 (multiplicity 1)  3 Lu 3.20, 3 Tm 3.21
6 Sb 0.6667 0.3333 0.1637 (multiplicity 1)  6 Tm 3.20-3.21
7 C 0.3333 0.6667 0.4139 (multiplicity 1)  6 Tm 2.45
8 C 0.3333 0.6667 0.9127 (multiplicity 1)  3 Lu 2.43, 3 Tm 2.45

Material: TmLu3Sb2C2
Method: DFT, PBE
State: optimized geometry

Output
E ... -50.34 eV per cell

Cell lengths 3.5806, 3.5806, 14.8436 Å; angles 90.00, 90.00, 120.00 degrees
Last column: nearest neighbours and their distance in Å.
Space group P3m1 (No. 156)
Asymmetric unit:
1 Tm 0.0000 0.0000 0.0000 (multiplicity 1)  3 C 2.44
2 Lu 0.0000 0.0000 0.3275 (multiplicity 1)  3 C 2.43
3 Lu 0.6667 0.3333 0.4990 (multiplicity 1)  3 C 2.43
4 Lu 0.6667 0.3333 0.8268 (multiplicity 1)  3 C 2.42
5 Sb 0.0000 0.0000 0.6631 (multiplicity 1)  6 Lu 3.19-3.20
6 Sb 0.6667 0.3333 0.1640 (multiplicity 1)  3 Lu 3.19, 3 Tm 3.19
7 C 0.3333 0.6667 0.4132 (multiplicity 1)  6 Lu 2.43
8 C 0.3333 0.6667 0.9122 (multiplicity 1)  3 Lu 2.42, 3 Tm 2.44